# 1
Below is an optimized crystal structure of VCoMoOs, with properties calculated at the PBE level.

Cell lengths 4.2864, 4.2864, 4.2864 Å; angles 60.00, 60.00, 60.00 degrees
With the nearest neighbours (Å) after each atom.
Atoms (fractional coordinates):
Co 0.5000 0.5000 0.5000  4 V 2.62, 4 Mo 2.62
Mo 0.2500 0.2500 0.2500  4 Os 2.62, 4 Co 2.62
Os 0.0000 0.0000 0.0000  4 Mo 2.62, 4 V 2.62
V 0.7500 0.7500 0.7500  4 Co 2.62, 4 Os 2.62

Values from the calculation:
The value obtained for the density is 11809 kg/m3. Its formation enthalpy at 0 K is 0.2 eV per formula unit. Its symmetry is F-43m (216).



# 2
Below is an optimized crystal structure of In2SbMo, with properties calculated at the PBE level.

Cell lengths 3.1238, 3.1238, 10.3949 Å; angles 90.00, 90.00, 108.33 degrees
With the nearest neighbours (Å) after each atom.
Atoms (fractional coordinates):
In 0.0000 0.0000 0.0242  6 In 3.12-3.27
In 0.5000 0.5000 0.2849  2 Mo 2.87, 4 In 3.12
Mo 0.0000 0.0000 0.4982  2 Sb 2.73, 2 In 2.87
Sb 0.5000 0.5000 0.6927  2 Mo 2.73

Values from the calculation:
The value obtained for the density is 7715 kg/m3. Its symmetry is Cmm2 (35). The value obtained for the raw formation energy is 0.307 eV/atom.



# 3
Below is an optimized crystal structure of LiScC3, with properties calculated at the PBE level.

Cell lengths 4.2652, 4.2652, 4.2652 Å; angles 90.00, 90.00, 90.00 degrees
With the nearest neighbours (Å) after each atom.
Atoms (fractional coordinates):
Sc 0.0000 0.0000 0.0000  6 C 2.13
C 0.0000 0.5000 0.0000  2 Sc 2.13
C 0.0000 0.0000 0.5000  2 Sc 2.13
C 0.5000 0.0000 0.0000  2 Sc 2.13
Li 0.5000 0.5000 0.5000  12 C 3.02

Values from the calculation:
The value obtained for the density is 1882 kg/m3. Its formation enthalpy at 0 K is 10.7 eV per formula unit. Its symmetry is Pm-3m (221). The calculation puts the relative energy among the computed polymorphs at 350.9 meV/atom.